*P*
! NiSb2ICl PBE optimized geometry; values from VASP
&SYSTEM
  ibrav = 0, nat = 5, ntyp = 4
/
ATOMIC_SPECIES
Sb 121.76 Sb.upf
Ni 58.69 Ni.upf
I 126.90 I.upf
Cl 35.45 Cl.upf
ATOMIC_POSITIONS crystal
Sb 0.5000 0.0000 0.0000
Sb 0.0000 0.5000 0.0000
Ni 0.5000 0.5000 0.5000
I 0.0000 0.0000 0.5000
Cl 0.0000 0.0000 0.0000
CELL_PARAMETERS angstrom
5.1105 0.0000 0.0000
0.0000 5.1105 0.0000
0.0000 0.0000 6.7479
! total magnetization: 1.9 μB/f.u.
! ρ: 4377 kg/m3
! V: 176 Å³ per cell

***

*Q*
! NiSb2ICl PBE optimized geometry; values from VASP
&SYSTEM
  ibrav = 0, nat = 5, ntyp = 4
/
ATOMIC_SPECIES
Sb 121.76 Sb.upf
Cl 35.45 Cl.upf
I 126.90 I.upf
Ni 58.69 Ni.upf
ATOMIC_POSITIONS crystal
Sb 0.0000 0.5000 0.0000
Sb 0.5000 0.0000 0.0000
Cl 0.5000 0.5000 0.5000
I 0.0000 0.0000 0.5000
Ni 0.0000 0.0000 0.0000
CELL_PARAMETERS angstrom
-2.0837 -0.6434 4.5157
0.4074 -4.9710 -0.5203
4.8094 0.1596 2.2419
! total magnetization: 0.0 μB/f.u.
! ρ: 5779 kg/m3
! V: 134 Å³ per cell

***

Stability summary: most stable *Q*, least stable *P*.

***

*P*
! NiTe2ICl PBE optimized geometry; values from VASP
&SYSTEM
  ibrav = 0, nat = 5, ntyp = 4
/
ATOMIC_SPECIES
Te 127.60 Te.upf
I 126.90 I.upf
Ni 58.69 Ni.upf
Cl 35.45 Cl.upf
ATOMIC_POSITIONS crystal
Te 0.0000 0.5000 0.0000
Te 0.5000 0.0000 0.0000
I 0.0000 0.0000 0.5000
Ni 0.0000 0.0000 0.0000
Cl 0.5000 0.5000 0.5000
CELL_PARAMETERS angstrom
-0.2769 -5.0610 -0.2589
4.6380 -0.1486 -2.0555
2.1063 -0.3597 4.7786
! total magnetization: 0.0 μB/f.u.
! ρ: 5865 kg/m3
! V: 135 Å³ per cell

***

*Q*
! NiTe2ICl PBE optimized geometry; values from VASP
&SYSTEM
  ibrav = 0, nat = 5, ntyp = 4
/
ATOMIC_SPECIES
Te 127.60 Te.upf
Cl 35.45 Cl.upf
Ni 58.69 Ni.upf
I 126.90 I.upf
ATOMIC_POSITIONS crystal
Te 0.0000 0.5000 0.0000
Te 0.5000 0.0000 0.0000
Cl 0.0000 0.0000 0.0000
Ni 0.5000 0.5000 0.5000
I 0.0000 0.0000 0.5000
CELL_PARAMETERS angstrom
-4.0765 -0.8548 3.5364
0.8571 -5.3872 -0.3142
3.5685 0.3233 4.1916
! total magnetization: 1.9 μB/f.u.
! ρ: 4804 kg/m3
! V: 165 Å³ per cell

***

Stability summary: most stable *P*, least stable *Q*.

***

*P*
! NpI3Cl PBE optimized geometry; values from VASP
&SYSTEM
  ibrav = 0, nat = 10, ntyp = 3
/
ATOMIC_SPECIES
I 126.90 I.upf
Np 237.00 Np.upf
Cl 35.45 Cl.upf
ATOMIC_POSITIONS crystal
I 0.4620 0.4252 0.2500
I 0.5380 0.5748 0.7500
I 0.1194 0.7409 0.4281
I 0.8806 0.2591 0.5719
I 0.8806 0.2591 0.9281
I 0.1194 0.7409 0.0719
Np 0.6204 0.7429 0.2500
Np 0.3796 0.2571 0.7500
Cl 0.2442 0.9856 0.7500
Cl 0.7558 0.0144 0.2500
CELL_PARAMETERS angstrom
-3.2829 2.9038 -0.8499
-3.5779 -5.4839 6.7797
4.3820 7.3777 8.2801
! total magnetization: 3.0 μB/f.u.
! ρ: 4449 kg/m3
! V: 488 Å³ per cell

***

*Q*
! NpI3Cl PBE optimized geometry; values from VASP
&SYSTEM
  ibrav = 0, nat = 10, ntyp = 3
/
ATOMIC_SPECIES
Cl 35.45 Cl.upf
I 126.90 I.upf
Np 237.00 Np.upf
ATOMIC_POSITIONS crystal
Cl 0.6961 0.6961 0.9117
Cl 0.3039 0.3039 0.0883
I 0.3847 0.8156 0.6791
I 0.1844 0.8794 0.3209
I 0.8156 0.1206 0.6791
I 0.8794 0.6153 0.3209
I 0.1206 0.3847 0.6791
I 0.6153 0.1844 0.3209
Np 0.1948 0.1948 0.4157
Np 0.8052 0.8052 0.5843
CELL_PARAMETERS angstrom
8.2794 0.0000 0.0000
4.1397 7.1702 0.0000
4.1397 2.3901 7.6976
! total magnetization: 3.0 μB/f.u.
! ρ: 4747 kg/m3
! V: 457 Å³ per cell

***

Stability summary: most stable *P*, least stable *Q*.

***

*P*
! NpICl2 PBE optimized geometry; values from VASP
&SYSTEM
  ibrav = 0, nat = 4, ntyp = 3
/
ATOMIC_SPECIES
Cl 35.45 Cl.upf
Np 237.00 Np.upf
I 126.90 I.upf
ATOMIC_POSITIONS crystal
Cl 0.9056 0.1134 0.0720
Cl 0.5681 0.3530 0.5106
Np 0.2762 0.3572 0.0902
I 0.7502 0.6765 0.8272
CELL_PARAMETERS angstrom
-3.6744 0.1789 1.4679
0.7383 -2.5644 7.4392
-0.5301 4.1126 3.5269
! total magnetization: 4.0 μB/f.u.
! ρ: 4914 kg/m3
! V: 147 Å³ per cell

***

*Q*
! NpICl2 PBE optimized geometry; values from VASP
&SYSTEM
  ibrav = 0, nat = 8, ntyp = 3
/
ATOMIC_SPECIES
Cl 35.45 Cl.upf
Np 237.00 Np.upf
I 126.90 I.upf
ATOMIC_POSITIONS crystal
Cl 0.6922 0.0732 0.2208
Cl 0.2469 0.2470 0.6516
Cl 0.2470 0.2469 0.1516
Cl 0.0732 0.6922 0.7208
Np 0.1165 0.4303 0.4177
Np 0.4303 0.1165 0.9177
I 0.5694 0.8722 0.6238
I 0.8722 0.5694 0.1238
CELL_PARAMETERS angstrom
-2.9985 3.8029 5.4630
-4.3148 -5.5846 -1.8686
6.9768 -2.8310 2.3722
! total magnetization: 4.0 μB/f.u.
! ρ: 4450 kg/m3
! V: 325 Å³ per cell

***

Stability summary: most stable *Q*, least stable *P*.